Record 1
Computed, not measured: Hf2VO after structural relaxation at the PBE with a Hubbard U level of DFT.

M_tot: 0.8 μB/f.u.
SG: R-3m (166)
final energy: -33.93 eV for the cell shown

Unit cell a=2.978 b=2.978 c=8.616 alpha=80.05 beta=80.05 gamma=60.00
Positions (direct):
Hf 0.894 0.894 0.317
Hf 0.106 0.106 0.683
V 0.000 0.000 0.000
O 0.500 0.500 0.500

=====

Record 2
Computed, not measured: MgCr2InF6 after structural relaxation at the PBE with a Hubbard U level of DFT.

M_tot: 8.3 μB/f.u.
SG: P1 (1)
final energy: -54.63 eV for the cell shown

Unit cell a=5.228 b=7.941 c=6.028 alpha=57.11 beta=60.78 gamma=54.29
Positions (direct):
F 0.893 0.531 0.166
Cr 0.066 0.053 0.045
F 0.779 0.141 0.838
F 0.175 0.362 0.741
F 0.263 0.059 0.255
In 0.627 0.825 0.620
F 0.436 0.588 0.683
Cr 0.524 0.457 0.428
F 0.569 0.307 0.220
Mg 0.329 0.337 0.019